w.
# SbIrI2F | Alexandria | GGA-PBE | relaxed
data_SbIrI2F
_chemical_formula_sum 'Sb1 Ir1 I2 F1'
_cell_length_a 5.568
_cell_length_b 5.568
_cell_length_c 4.176
_cell_angle_alpha 90.00
_cell_angle_beta 90.00
_cell_angle_gamma 90.00
_space_group_name_H-M_alt 'P 1'
_space_group_IT_number 1
loop_
_space_group_symop_operation_xyz
'x,y,z'
loop_
_atom_site_label
_atom_site_fract_x
_atom_site_fract_y
_atom_site_fract_z
_atom_site_occupancy
Sb1 0.000 0.000 0.000 1
Ir1 0.500 0.500 0.000 1
I1 0.000 0.500 0.500 1
I2 0.500 0.000 0.500 1
F1 0.000 0.000 0.500 1
# * total magnetic moment: 1.1 μB/cell

=====

x.
# SbIrI2F | Alexandria | GGA-PBE | relaxed
data_SbIrI2F
_chemical_formula_sum 'Sb1 Ir1 I2 F1'
_cell_length_a 5.505
_cell_length_b 5.505
_cell_length_c 5.003
_cell_angle_alpha 90.00
_cell_angle_beta 90.00
_cell_angle_gamma 90.00
_space_group_name_H-M_alt 'P 1'
_space_group_IT_number 1
loop_
_space_group_symop_operation_xyz
'x,y,z'
loop_
_atom_site_label
_atom_site_fract_x
_atom_site_fract_y
_atom_site_fract_z
_atom_site_occupancy
Sb1 0.000 0.000 0.000 1
Ir1 0.000 0.000 0.500 1
I1 0.000 0.500 0.500 1
I2 0.500 0.000 0.500 1
F1 0.500 0.500 0.000 1
# * total magnetic moment: 0.0 μB/cell

=====

x comes first in stability; the runner-up is 485 meV/atom higher.

=====

w.
# Sb2IrIF | Alexandria | GGA-PBE | relaxed
data_Sb2IrIF
_chemical_formula_sum 'Sb2 Ir1 I1 F1'
_cell_length_a 5.077
_cell_length_b 5.077
_cell_length_c 5.637
_cell_angle_alpha 90.00
_cell_angle_beta 90.00
_cell_angle_gamma 90.00
_space_group_name_H-M_alt 'P 1'
_space_group_IT_number 1
loop_
_space_group_symop_operation_xyz
'x,y,z'
loop_
_atom_site_label
_atom_site_fract_x
_atom_site_fract_y
_atom_site_fract_z
_atom_site_occupancy
Sb1 0.000 0.500 0.000 1
Sb2 0.500 0.000 0.000 1
Ir1 0.000 0.000 0.000 1
I1 0.000 0.000 0.500 1
F1 0.500 0.500 0.500 1
# * total magnetic moment: 0.0 μB/cell

=====

x.
# Sb2IrIF | Alexandria | GGA-PBE | relaxed
data_Sb2IrIF
_chemical_formula_sum 'Sb2 Ir1 I1 F1'
_cell_length_a 4.598
_cell_length_b 4.598
_cell_length_c 5.421
_cell_angle_alpha 90.00
_cell_angle_beta 90.00
_cell_angle_gamma 90.00
_space_group_name_H-M_alt 'P 1'
_space_group_IT_number 1
loop_
_space_group_symop_operation_xyz
'x,y,z'
loop_
_atom_site_label
_atom_site_fract_x
_atom_site_fract_y
_atom_site_fract_z
_atom_site_occupancy
Sb1 0.000 0.500 0.000 1
Sb2 0.500 0.000 0.000 1
Ir1 0.000 0.000 0.500 1
I1 0.500 0.500 0.500 1
F1 0.500 0.500 0.000 1
# * total magnetic moment: 0.0 μB/cell

=====

w comes first in stability; the runner-up is 407 meV/atom higher.

=====

w.
# KIF3 | Alexandria | GGA-PBE | relaxed
data_KIF3
_chemical_formula_sum 'K1 I1 F3'
_cell_length_a 4.839
_cell_length_b 4.839
_cell_length_c 4.839
_cell_angle_alpha 90.00
_cell_angle_beta 90.00
_cell_angle_gamma 90.00
_space_group_name_H-M_alt 'P 1'
_space_group_IT_number 1
loop_
_space_group_symop_operation_xyz
'x,y,z'
loop_
_atom_site_label
_atom_site_fract_x
_atom_site_fract_y
_atom_site_fract_z
_atom_site_occupancy
K1 0.000 0.000 0.000 1
I1 0.500 0.500 0.500 1
F1 0.000 0.000 0.500 1
F2 0.000 0.500 0.000 1
F3 0.500 0.000 0.000 1
# * total magnetic moment: 3.0 μB/cell

=====

x.
# KIF3 | Alexandria | GGA-PBE | relaxed
data_KIF3
_chemical_formula_sum 'K1 I1 F3'
_cell_length_a 4.838
_cell_length_b 4.838
_cell_length_c 4.838
_cell_angle_alpha 90.00
_cell_angle_beta 90.00
_cell_angle_gamma 90.00
_space_group_name_H-M_alt 'P 1'
_space_group_IT_number 1
loop_
_space_group_symop_operation_xyz
'x,y,z'
loop_
_atom_site_label
_atom_site_fract_x
_atom_site_fract_y
_atom_site_fract_z
_atom_site_occupancy
K1 0.000 0.000 0.000 1
I1 0.500 0.500 0.500 1
F1 0.000 0.500 0.500 1
F2 0.500 0.000 0.500 1
F3 0.500 0.500 0.000 1
# * total magnetic moment: 0.0 μB/cell

=====

x comes first in stability; the runner-up is 564 meV/atom higher.

=====

w.
# K3I2F | Alexandria | GGA-PBE | relaxed
data_K3I2F
_chemical_formula_sum 'K12 I8 F4'
_cell_length_a 13.705
_cell_length_b 4.699
_cell_length_c 14.191
_cell_angle_alpha 90.00
_cell_angle_beta 90.00
_cell_angle_gamma 90.00
_space_group_name_H-M_alt 'P 1'
_space_group_IT_number 1
loop_
_space_group_symop_operation_xyz
'x,y,z'
loop_
_atom_site_label
_atom_site_fract_x
_atom_site_fract_y
_atom_site_fract_z
_atom_site_occupancy
K1 0.070 0.250 0.145 1
K2 0.147 0.750 0.556 1
K3 0.227 0.250 0.778 1
K4 0.273 0.750 0.278 1
K5 0.353 0.250 0.056 1
K6 0.430 0.750 0.645 1
K7 0.570 0.250 0.355 1
K8 0.647 0.750 0.944 1
K9 0.727 0.250 0.722 1
K10 0.773 0.750 0.222 1
K11 0.853 0.250 0.444 1
K12 0.930 0.750 0.855 1
I1 0.013 0.750 0.332 1
I2 0.166 0.750 0.974 1
I3 0.334 0.250 0.474 1
I4 0.487 0.250 0.832 1
I5 0.513 0.750 0.168 1
I6 0.666 0.750 0.526 1
I7 0.834 0.250 0.026 1
I8 0.987 0.250 0.668 1
F1 0.245 0.250 0.199 1
F2 0.255 0.750 0.699 1
F3 0.745 0.250 0.301 1
F4 0.755 0.750 0.801 1
# * total magnetic moment: 0.0 μB/cell

=====

x.
# K3I2F | Alexandria | GGA-PBE | relaxed
data_K3I2F
_chemical_formula_sum 'K3 I2 F1'
_cell_length_a 8.288
_cell_length_b 8.288
_cell_length_c 8.288
_cell_angle_alpha 148.71
_cell_angle_beta 130.81
_cell_angle_gamma 59.46
_space_group_name_H-M_alt 'P 1'
_space_group_IT_number 1
loop_
_space_group_symop_operation_xyz
'x,y,z'
loop_
_atom_site_label
_atom_site_fract_x
_atom_site_fract_y
_atom_site_fract_z
_atom_site_occupancy
K1 0.000 0.000 0.000 1
K2 0.374 0.374 0.000 1
K3 0.626 0.626 0.000 1
I1 0.176 0.676 0.500 1
I2 0.824 0.324 0.500 1
F1 0.500 0.000 0.500 1
# * total magnetic moment: 0.0 μB/cell

=====

w comes first in stability; the runner-up is 77 meV/atom higher.

=====

w.
# K3IF8 | Alexandria | GGA-PBE | relaxed
data_K3IF8
_chemical_formula_sum 'K3 I1 F8'
_cell_length_a 5.923
_cell_length_b 5.923
_cell_length_c 5.923
_cell_angle_alpha 90.00
_cell_angle_beta 90.00
_cell_angle_gamma 90.00
_space_group_name_H-M_alt 'P 1'
_space_group_IT_number 1
loop_
_space_group_symop_operation_xyz
'x,y,z'
loop_
_atom_site_label
_atom_site_fract_x
_atom_site_fract_y
_atom_site_fract_z
_atom_site_occupancy
K1 0.000 0.000 0.500 1
K2 0.000 0.500 0.000 1
K3 0.500 0.000 0.000 1
I1 0.500 0.500 0.500 1
F1 0.290 0.290 0.290 1
F2 0.290 0.290 0.710 1
F3 0.290 0.710 0.290 1
F4 0.290 0.710 0.710 1
F5 0.710 0.290 0.290 1
F6 0.710 0.290 0.710 1
F7 0.710 0.710 0.290 1
F8 0.710 0.710 0.710 1
# * total magnetic moment: 0.0 μB/cell

=====

x.
# K3IF8 | Alexandria | GGA-PBE | relaxed
data_K3IF8
_chemical_formula_sum 'K3 I1 F8'
_cell_length_a 7.219
_cell_length_b 7.219
_cell_length_c 7.219
_cell_angle_alpha 131.15
_cell_angle_beta 131.15
_cell_angle_gamma 71.58
_space_group_name_H-M_alt 'P 1'
_space_group_IT_number 1
loop_
_space_group_symop_operation_xyz
'x,y,z'
loop_
_atom_site_label
_atom_site_fract_x
_atom_site_fract_y
_atom_site_fract_z
_atom_site_occupancy
K1 0.000 0.000 0.000 1
K2 0.250 0.750 0.500 1
K3 0.750 0.250 0.500 1
I1 0.500 0.500 0.000 1
F1 0.186 0.186 0.584 1
F2 0.186 0.602 0.000 1
F3 0.398 0.398 0.584 1
F4 0.398 0.814 0.000 1
F5 0.602 0.186 0.000 1
F6 0.602 0.602 0.416 1
F7 0.814 0.398 0.000 1
F8 0.814 0.814 0.416 1
# * total magnetic moment: 0.0 μB/cell

=====

x comes first in stability; the runner-up is 8 meV/atom higher.

=====

w.
# KINF2 | Alexandria | GGA-PBE | relaxed
data_KINF2
_chemical_formula_sum 'K1 I1 N1 F2'
_cell_length_a 4.919
_cell_length_b 4.919
_cell_length_c 5.264
_cell_angle_alpha 90.00
_cell_angle_beta 90.00
_cell_angle_gamma 90.00
_space_group_name_H-M_alt 'P 1'
_space_group_IT_number 1
loop_
_space_group_symop_operation_xyz
'x,y,z'
loop_
_atom_site_label
_atom_site_fract_x
_atom_site_fract_y
_atom_site_fract_z
_atom_site_occupancy
K1 0.000 0.000 0.000 1
I1 0.500 0.500 0.500 1
N1 0.000 0.000 0.500 1
F1 0.000 0.500 0.000 1
F2 0.500 0.000 0.000 1
# * total magnetic moment: 1.0 μB/cell

=====

x.
# KINF2 | Alexandria | GGA-PBE | relaxed
data_KINF2
_chemical_formula_sum 'K1 I1 N1 F2'
_cell_length_a 4.939
_cell_length_b 4.939
_cell_length_c 4.024
_cell_angle_alpha 90.00
_cell_angle_beta 90.00
_cell_angle_gamma 90.00
_space_group_name_H-M_alt 'P 1'
_space_group_IT_number 1
loop_
_space_group_symop_operation_xyz
'x,y,z'
loop_
_atom_site_label
_atom_site_fract_x
_atom_site_fract_y
_atom_site_fract_z
_atom_site_occupancy
K1 0.000 0.000 0.000 1
I1 0.500 0.500 0.500 1
N1 0.500 0.500 0.000 1
F1 0.000 0.500 0.500 1
F2 0.500 0.000 0.500 1
# * total magnetic moment: 0.0 μB/cell

=====

x comes first in stability; the runner-up is 836 meV/atom higher.